First-principles (PBE) data for a relaxed CaMg2Pt crystal, as listed in the Alexandria database.

a b c (Å): 4.8493 4.8493 4.8493
angles (deg): 60.00 60.00 60.00
Last column: nearest neighbours and their distance in Å.
Atoms (fractional coordinates):
1 Ca 0.0000 0.0000 0.0000  8 Mg 2.97
2 Mg 0.2500 0.2500 0.2500  4 Ca 2.97, 4 Pt 2.97
3 Mg 0.7500 0.7500 0.7500  4 Ca 2.97, 4 Pt 2.97
4 Pt 0.5000 0.5000 0.5000  8 Mg 2.97

Computed properties:
N(E_F) (states/eV per atom): 0.75
Energy relative to the elements (meV per atom): -436
Magnetization (μB per atom): 0.00